Compound: LiFe2HCl
Source: Alexandria via LeMat-Bulk
Functional: PBE
Structure: optimized geometry

Output
Final energy   -4.85 eV/atom

a b c (Å): 3.438 3.438 6.584
angles (deg): 90.00 90.00 90.00
Fractional coordinates of all 5 atoms:
Li 0.000 0.000 0.000
Fe 0.000 0.500 0.500
Fe 0.500 0.000 0.500
H 0.000 0.000 0.500
Cl 0.500 0.500 0.000